Record 1
The following is a PBE calculation of a relaxed Li14TlAu crystal, from the Alexandria database.

Values from the calculation:
Calculated formation energy (eV per atom): -0.143
Crystal system: tetragonal
Density (g cm⁻³): 2.82

Cell lengths 6.709, 6.709, 6.532 Å; angles 90.00, 90.00, 90.00 degrees
Atoms (fractional coordinates):
1 Li 0.000 0.000 0.000
2 Li 0.000 0.500 0.000
3 Li 0.000 0.500 0.500
4 Li 0.238 0.238 0.266
5 Li 0.238 0.238 0.734
6 Li 0.238 0.762 0.266
7 Li 0.238 0.762 0.734
8 Li 0.500 0.000 0.000
9 Li 0.500 0.000 0.500
10 Li 0.500 0.500 0.000
11 Li 0.762 0.238 0.266
12 Li 0.762 0.238 0.734
13 Li 0.762 0.762 0.266
14 Li 0.762 0.762 0.734
15 Tl 0.500 0.500 0.500
16 Au 0.000 0.000 0.500



Record 2
The following is a PBE calculation of a relaxed InN4 crystal, from the Alexandria database.

Values from the calculation:
Crystal system: cubic
Density (g cm⁻³): 3.05
Formation energy without anion corrections (eV per formula unit): 16.2

Cell lengths 4.529, 4.529, 4.529 Å; angles 90.00, 90.00, 90.00 degrees
Atoms (fractional coordinates):
1 In 0.000 0.000 0.000
2 N 0.000 0.000 0.500
3 N 0.000 0.500 0.000
4 N 0.500 0.000 0.000
5 N 0.500 0.500 0.500



Record 3
The following is a PBE calculation of a relaxed Si2SnRhN crystal, from the Alexandria database.

Values from the calculation:
Crystal system: monoclinic
Density (g cm⁻³): 5.73
Formation energy without anion corrections (eV per formula unit): -1.0

Cell lengths 4.700, 4.700, 6.414 Å; angles 104.69, 104.69, 38.31 degrees
Atoms (fractional coordinates):
1 Si 0.000 0.000 0.000
2 Si 0.189 0.189 0.738
3 Sn 0.390 0.390 0.292
4 Rh 0.871 0.871 0.638
5 N 0.193 0.193 0.015



Record 4
The following is a PBE calculation of a relaxed Pm2BiCl crystal, from the Alexandria database.

Values from the calculation:
Crystal system: tetragonal
Density (g cm⁻³): 7.98
Formation energy without anion corrections (eV per formula unit): -3.8

Cell lengths 5.353, 5.353, 3.879 Å; angles 90.00, 90.00, 90.00 degrees
Atoms (fractional coordinates):
1 Pm 0.000 0.500 0.000
2 Pm 0.500 0.000 0.000
3 Bi 0.000 0.000 0.500
4 Cl 0.500 0.500 0.500